Below is a relaxed AcHo3Au4O12 crystal, with properties calculated at the PBE level.

calculated total energy	-0.443	Ry per atom
formation energy without anion corrections	-1500	meV per atom
symmetry	No. 155

Lattice parameters (Å, degrees): 7.2653 7.2653 7.2653 104.59 104.59 104.59
Last column: nearest neighbours and their distance in Å.
Positions (direct):
1 Ac 0.0000 0.0000 0.0000  6 O 2.57
2 Ho 0.0000 0.5612 0.4388  6 O 2.19-2.30
3 Ho 0.4388 0.0000 0.5612  6 O 2.19-2.30
4 Ho 0.5612 0.4388 0.0000  6 O 2.19-2.30
5 Au 0.0826 0.5000 0.9174  3 O 1.99-2.06
6 Au 0.5000 0.5000 0.5000  3 O 1.99
7 Au 0.5000 0.9174 0.0826  3 O 1.99-2.06
8 Au 0.9174 0.0826 0.5000  3 O 1.99-2.06
9 O 0.0073 0.2390 0.3312  1 Au 1.99
10 O 0.0969 0.9031 0.5000  1 Au 2.06, 2 Ho 2.30
11 O 0.2390 0.3312 0.0073  1 Au 1.99
12 O 0.3269 0.6731 0.5000  1 Au 1.99, 2 Ho 2.19
13 O 0.3312 0.0073 0.2390  1 Au 1.99
14 O 0.5000 0.0969 0.9031  1 Au 2.06, 2 Ho 2.30
15 O 0.5000 0.3269 0.6731  1 Au 1.99, 2 Ho 2.19
16 O 0.6688 0.7610 0.9927  1 Au 1.99
17 O 0.6731 0.5000 0.3269  1 Au 1.99, 2 Ho 2.19
18 O 0.7610 0.9927 0.6688  1 Au 1.99
19 O 0.9031 0.5000 0.0969  1 Au 2.06, 2 Ho 2.30
20 O 0.9927 0.6688 0.7610  1 Au 1.99